This record from Alexandria via LeMat-Bulk describes a relaxed NdTmCuSn crystal. The functional is PBE-GGA.

Crystal system: cubic

Lattice parameters (Å, degrees): 7.3579 7.3579 7.3579 90.00 90.00 90.00
With the nearest neighbours (Å) after each atom.
Space group F-43m (No. 216)
One atom of each set of equivalent atoms:
Nd 0.0000 0.0000 0.0000 [4 per cell]  4 Sn 3.19, 4 Cu 3.19
Tm 0.0000 0.0000 0.5000 [4 per cell]  4 Cu 3.19, 4 Sn 3.19
Cu 0.2500 0.2500 0.2500 [4 per cell]  4 Nd 3.19, 4 Tm 3.19
Sn 0.2500 0.2500 0.7500 [4 per cell]  4 Nd 3.19, 4 Tm 3.19

***

This record from Alexandria via LeMat-Bulk describes a relaxed NdYCuSn crystal. The functional is PBE-GGA.

Crystal system: cubic

Lattice parameters (Å, degrees): 7.4119 7.4119 7.4119 90.00 90.00 90.00
With the nearest neighbours (Å) after each atom.
Space group F-43m (No. 216)
One atom of each set of equivalent atoms:
Nd 0.0000 0.0000 0.0000 [4 per cell]  4 Cu 3.21, 4 Sn 3.21
Y 0.0000 0.0000 0.5000 [4 per cell]  4 Sn 3.21, 4 Cu 3.21
Cu 0.2500 0.2500 0.2500 [4 per cell]  4 Nd 3.21, 4 Y 3.21
Sn 0.2500 0.2500 0.7500 [4 per cell]  4 Nd 3.21, 4 Y 3.21

***

This record from Alexandria via LeMat-Bulk describes a relaxed Nd2ZnCu3Sn4 crystal. The functional is PBE-GGA.

Crystal system: tetragonal

Lattice parameters (Å, degrees): 4.4294 4.4294 11.0730 90.00 90.00 90.00
With the nearest neighbours (Å) after each atom.
Space group P-4m2 (No. 115)
One atom of each set of equivalent atoms:
Nd 0.0000 0.5000 0.2461 [2 per cell]  8 Sn 3.36-3.58, 6 Cu 3.39-3.51, 2 Zn 3.51
Zn 0.5000 0.5000 0.0000 [1 per cell]  4 Sn 2.68
Cu 0.0000 0.0000 0.0000 [1 per cell]  4 Sn 2.68
Cu 0.0000 0.5000 0.6360 [2 per cell]  5 Sn 2.52-2.68
Sn 0.0000 0.0000 0.5000 [1 per cell]  4 Cu 2.68
Sn 0.0000 0.5000 0.8636 [2 per cell]  3 Cu 2.52-2.68, 2 Zn 2.68
Sn 0.5000 0.5000 0.5000 [1 per cell]  4 Cu 2.68

***

no.,total energy (eV/atom),formation energy (eV/atom)
1,-4.738,-0.40
2,-5.266,-0.43
3,-4.321,-0.41